i) First-principles (GGA-PBE) data for a relaxed Na2ReB crystal, as listed in Alexandria.

```
data_Na2ReB
_chemical_formula_sum 'Na8 Re4 B4'
_cell_length_a 9.919
_cell_length_b 9.919
_cell_length_c 4.166
_cell_angle_alpha 90.00
_cell_angle_beta 90.00
_cell_angle_gamma 90.00
_symmetry_space_group_name_H-M 'I -4 2 d'
_symmetry_Int_Tables_number 122
_symmetry_space_group_name_Hall 'I -4 2bw'
loop_
_atom_site_label
_atom_site_type_symbol
_atom_site_fract_x
_atom_site_fract_y
_atom_site_fract_z
_atom_site_occupancy
Na1 Na 0.093 0.250 0.125 1
Re1 Re 0.000 0.000 0.500 1
B1 B 0.000 0.000 0.000 1
```


ii) First-principles (GGA-PBE) data for a relaxed Na2ReB crystal, as listed in Alexandria.

```
data_Na2ReB
_chemical_formula_sum 'Na8 Re4 B4'
_cell_length_a 6.574
_cell_length_b 6.574
_cell_length_c 6.574
_cell_angle_alpha 90.00
_cell_angle_beta 90.00
_cell_angle_gamma 90.00
_symmetry_space_group_name_H-M 'F m -3 m'
_symmetry_Int_Tables_number 225
_symmetry_space_group_name_Hall '-F 4 2 3'
loop_
_atom_site_label
_atom_site_type_symbol
_atom_site_fract_x
_atom_site_fract_y
_atom_site_fract_z
_atom_site_occupancy
Na1 Na 0.250 0.250 0.250 1
Re1 Re 0.000 0.000 0.000 1
B1 B 0.000 0.000 0.500 1
```


Result of the stability comparison: i) is the most stable of them.


i) First-principles (GGA-PBE) data for a relaxed Na3ReB crystal, as listed in Alexandria.

```
data_Na3ReB
_chemical_formula_sum 'Na3 Re1 B1'
_cell_length_a 5.028
_cell_length_b 5.028
_cell_length_c 5.028
_cell_angle_alpha 90.00
_cell_angle_beta 90.00
_cell_angle_gamma 90.00
_symmetry_space_group_name_H-M 'P m -3 m'
_symmetry_Int_Tables_number 221
_symmetry_space_group_name_Hall '-P 4 2 3'
loop_
_atom_site_label
_atom_site_type_symbol
_atom_site_fract_x
_atom_site_fract_y
_atom_site_fract_z
_atom_site_occupancy
Na1 Na 0.000 0.000 0.500 1
Re1 Re 0.500 0.500 0.500 1
B1 B 0.000 0.000 0.000 1
```


ii) First-principles (GGA-PBE) data for a relaxed Na3ReB crystal, as listed in Alexandria.

```
data_Na3ReB
_chemical_formula_sum 'Na3 Re1 B1'
_cell_length_a 5.730
_cell_length_b 5.730
_cell_length_c 5.730
_cell_angle_alpha 90.00
_cell_angle_beta 90.00
_cell_angle_gamma 90.00
_symmetry_space_group_name_H-M 'P m -3 m'
_symmetry_Int_Tables_number 221
_symmetry_space_group_name_Hall '-P 4 2 3'
loop_
_atom_site_label
_atom_site_type_symbol
_atom_site_fract_x
_atom_site_fract_y
_atom_site_fract_z
_atom_site_occupancy
Na1 Na 0.000 0.000 0.500 1
Re1 Re 0.000 0.000 0.000 1
B1 B 0.500 0.500 0.500 1
```


Result of the stability comparison: i) is the most stable of them.


i) First-principles (GGA-PBE) data for a relaxed Na3BRh crystal, as listed in Alexandria.

```
data_Na3BRh
_chemical_formula_sum 'Na3 B1 Rh1'
_cell_length_a 5.268
_cell_length_b 5.268
_cell_length_c 5.268
_cell_angle_alpha 90.00
_cell_angle_beta 90.00
_cell_angle_gamma 90.00
_symmetry_space_group_name_H-M 'P m -3 m'
_symmetry_Int_Tables_number 221
_symmetry_space_group_name_Hall '-P 4 2 3'
loop_
_atom_site_label
_atom_site_type_symbol
_atom_site_fract_x
_atom_site_fract_y
_atom_site_fract_z
_atom_site_occupancy
Na1 Na 0.000 0.000 0.500 1
B1 B 0.500 0.500 0.500 1
Rh1 Rh 0.000 0.000 0.000 1
```


ii) First-principles (GGA-PBE) data for a relaxed Na3BRh crystal, as listed in Alexandria.

```
data_Na3BRh
_chemical_formula_sum 'Na3 B1 Rh1'
_cell_length_a 4.879
_cell_length_b 4.879
_cell_length_c 4.879
_cell_angle_alpha 90.00
_cell_angle_beta 90.00
_cell_angle_gamma 90.00
_symmetry_space_group_name_H-M 'P m -3 m'
_symmetry_Int_Tables_number 221
_symmetry_space_group_name_Hall '-P 4 2 3'
loop_
_atom_site_label
_atom_site_type_symbol
_atom_site_fract_x
_atom_site_fract_y
_atom_site_fract_z
_atom_site_occupancy
Na1 Na 0.000 0.000 0.500 1
B1 B 0.000 0.000 0.000 1
Rh1 Rh 0.500 0.500 0.500 1
```


Result of the stability comparison: ii) is the most stable of them.


i) First-principles (GGA-PBE) data for a relaxed NaB2Rh2 crystal, as listed in Alexandria.

```
data_NaB2Rh2
_chemical_formula_sum 'Na4 B8 Rh8'
_cell_length_a 6.049
_cell_length_b 9.179
_cell_length_c 5.972
_cell_angle_alpha 90.00
_cell_angle_beta 120.37
_cell_angle_gamma 90.00
_symmetry_space_group_name_H-M 'C 1 2/c 1'
_symmetry_Int_Tables_number 15
_symmetry_space_group_name_Hall '-C 2yc'
loop_
_atom_site_label
_atom_site_type_symbol
_atom_site_fract_x
_atom_site_fract_y
_atom_site_fract_z
_atom_site_occupancy
Na1 Na 0.000 0.125 0.250 1
B1 B 0.000 0.199 0.750 1
B2 B 0.000 0.447 0.250 1
Rh1 Rh 0.134 0.375 0.016 1
```


ii) First-principles (GGA-PBE) data for a relaxed NaB2Rh2 crystal, as listed in Alexandria.

```
data_NaB2Rh2
_chemical_formula_sum 'Na2 B4 Rh4'
_cell_length_a 3.538
_cell_length_b 3.538
_cell_length_c 10.384
_cell_angle_alpha 90.00
_cell_angle_beta 90.00
_cell_angle_gamma 90.00
_symmetry_space_group_name_H-M 'I 4/m m m'
_symmetry_Int_Tables_number 139
_symmetry_space_group_name_Hall '-I 4 2'
loop_
_atom_site_label
_atom_site_type_symbol
_atom_site_fract_x
_atom_site_fract_y
_atom_site_fract_z
_atom_site_occupancy
Na1 Na 0.000 0.000 0.000 1
B1 B 0.000 0.500 0.250 1
Rh1 Rh 0.000 0.000 0.361 1
```


iii) First-principles (GGA-PBE) data for a relaxed NaB2Rh2 crystal, as listed in Alexandria.

```
data_NaB2Rh2
_chemical_formula_sum 'Na2 B4 Rh4'
_cell_length_a 10.832
_cell_length_b 3.925
_cell_length_c 3.925
_cell_angle_alpha 90.00
_cell_angle_beta 111.02
_cell_angle_gamma 90.00
_symmetry_space_group_name_H-M 'C 1 2/m 1'
_symmetry_Int_Tables_number 12
_symmetry_space_group_name_Hall '-C 2y'
loop_
_atom_site_label
_atom_site_type_symbol
_atom_site_fract_x
_atom_site_fract_y
_atom_site_fract_z
_atom_site_occupancy
Na1 Na 0.000 0.000 0.000 1
B1 B 0.182 0.500 0.682 1
Rh1 Rh 0.250 0.000 0.750 1
```


Result of the stability comparison: i) is the most stable of them.


i) First-principles (GGA-PBE) data for a relaxed NaB2Rh crystal, as listed in Alexandria.

```
data_NaB2Rh
_chemical_formula_sum 'Na4 B8 Rh4'
_cell_length_a 4.496
_cell_length_b 4.496
_cell_length_c 13.001
_cell_angle_alpha 90.00
_cell_angle_beta 90.00
_cell_angle_gamma 90.00
_symmetry_space_group_name_H-M 'I 41/a m d'
_symmetry_Int_Tables_number 141
loop_
_symmetry_equiv_pos_as_xyz
'x,y,z'
'-x,-y,-z'
'-y+1/4,x+3/4,z+1/4'
'y+1/4,-x+3/4,-z+1/4'
'-x+1/2,-y,z+1/2'
'x+1/2,y,-z+1/2'
'y+1/4,-x+1/4,z+3/4'
'-y+1/4,x+1/4,-z+3/4'
'x,-y,-z'
'-x,y,z'
'-y+1/4,-x+1/4,-z+3/4'
'y+1/4,x+1/4,z+3/4'
'-x+1/2,y,-z+1/2'
'x+1/2,-y,z+1/2'
'y+1/4,x+3/4,-z+1/4'
'-y+1/4,-x+3/4,z+1/4'
'x+1/2,y+1/2,z+1/2'
'-x+1/2,-y+1/2,-z+1/2'
'-y+3/4,x+1/4,z+3/4'
'y+3/4,-x+1/4,-z+3/4'
'-x,-y+1/2,z'
'x,y+1/2,-z'
'y+3/4,-x+3/4,z+1/4'
'-y+3/4,x+3/4,-z+1/4'
'x+1/2,-y+1/2,-z+1/2'
'-x+1/2,y+1/2,z+1/2'
'-y+3/4,-x+3/4,-z+1/4'
'y+3/4,x+3/4,z+1/4'
'-x,y+1/2,-z'
'x,-y+1/2,z'
'y+3/4,x+1/4,-z+3/4'
'-y+3/4,-x+1/4,z+3/4'
loop_
_atom_site_label
_atom_site_type_symbol
_atom_site_fract_x
_atom_site_fract_y
_atom_site_fract_z
_atom_site_occupancy
Na1 Na 0.000 0.250 0.375 1
B1 B 0.000 0.000 0.000 1
Rh1 Rh 0.000 0.250 0.875 1
```


ii) First-principles (GGA-PBE) data for a relaxed NaB2Rh crystal, as listed in Alexandria.

```
data_NaB2Rh
_chemical_formula_sum 'Na4 B8 Rh4'
_cell_length_a 5.537
_cell_length_b 5.537
_cell_length_c 5.537
_cell_angle_alpha 90.00
_cell_angle_beta 90.00
_cell_angle_gamma 90.00
_symmetry_space_group_name_H-M 'F m -3 m'
_symmetry_Int_Tables_number 225
_symmetry_space_group_name_Hall '-F 4 2 3'
loop_
_atom_site_label
_atom_site_type_symbol
_atom_site_fract_x
_atom_site_fract_y
_atom_site_fract_z
_atom_site_occupancy
Na1 Na 0.000 0.000 0.000 1
B1 B 0.250 0.250 0.250 1
Rh1 Rh 0.000 0.000 0.500 1
```


Result of the stability comparison: i) is the most stable of them.